Si2WBr PBE-GGA relaxed; raw formation energy = 0.98 eV per atom; magnetic moment = 0.000 μB per atom; polymorph energy (0 for the lowest one) = 678 meV/atom
1.0
2.8987 0.0000 0.0000
0.0000 4.7494 0.0000
0.0000 0.0000 4.7792
Si W Br
2 1 1
Cartesian
0.0000 0.0000 0.0000 Si
1.4494 0.0000 2.3896 Si
0.0000 2.3747 2.3896 W
1.4494 2.3747 0.0000 Br